Below is RbFeP2 after structural relaxation, with properties calculated at the GGA-PBE level.

Cell: 4.6463 4.6463 4.6463 Å, 60.00 60.00 60.00°
With the nearest neighbours (Å) after each atom.
Positions (direct):
P1 0.2500 0.2500 0.2500  4 Rb 2.85, 4 Fe 2.85
P2 0.7500 0.7500 0.7500  4 Fe 2.85, 4 Rb 2.85
Fe1 0.0000 0.0000 0.0000  8 P 2.85
Rb1 0.5000 0.5000 0.5000  8 P 2.85

Results
- Total magnetic moment: 0.000 μB per atom
- E_form: 4.25 eV per formula unit